LiNiO3: relaxed, PBE with a Hubbard U.

## Properties
* uncorrected energy: -17.146 eV per cell

Lattice parameters (Å, degrees): 3.5040 3.5040 3.5040 90.00 90.00 90.00
Fractional positions:
O  0.5000  0.0000  0.0000
O  0.0000  0.0000  0.5000
O  0.0000  0.5000  0.0000
Li  0.0000  0.0000  0.0000
Ni  0.5000  0.5000  0.5000